Here is an optimized crystal structure of Ba3NpV2O9 from Alexandria via LeMat-Bulk. Energies are from PBE with a Hubbard U.

Cell and atoms, written as CIF:
```
data_Ba3NpV2O9
_chemical_formula_sum 'Ba3 Np1 V2 O9'
_cell_length_a 5.857
_cell_length_b 5.857
_cell_length_c 7.192
_cell_angle_alpha 90.00
_cell_angle_beta 90.00
_cell_angle_gamma 120.00
_space_group_name_H-M_alt 'P 1'
_space_group_IT_number 1
loop_
_space_group_symop_operation_xyz
'x,y,z'
loop_
_atom_site_label
_atom_site_type_symbol
_atom_site_fract_x
_atom_site_fract_y
_atom_site_fract_z
V1 V 0.333 0.667 0.151
O1 O 0.000 0.500 0.000
O2 O 0.831 0.169 0.672
O3 O 0.662 0.831 0.328
O4 O 0.338 0.169 0.672
O5 O 0.500 0.500 0.000
Np1 Np 0.000 0.000 0.500
O6 O 0.500 0.000 0.000
O7 O 0.831 0.662 0.672
Ba1 Ba 0.000 0.000 0.000
Ba2 Ba 0.333 0.667 0.681
O8 O 0.169 0.338 0.328
V2 V 0.667 0.333 0.849
Ba3 Ba 0.667 0.333 0.319
O9 O 0.169 0.831 0.328
```

* symmetry: No. 164
* raw total energy: -7.86 eV/atom